No. 1
# NiSb2O4 | the Alexandria database | meta-GGA SCAN | PBEsol geometry
data_NiSb2O4
_chemical_formula_sum 'Ni4 Sb8 O16'
_space_group_name_H-M_alt 'P 1'
_space_group_IT_number 1
_space_group_name_Hall 'P 1'
_cell_length_a 5.9916
_cell_length_b 8.2132
_cell_length_c 8.2132
_cell_angle_alpha 90.00
_cell_angle_beta 90.00
_cell_angle_gamma 90.00
loop_
_atom_site_label
_atom_site_fract_x
_atom_site_fract_y
_atom_site_fract_z
O1 0.7500 0.8262 0.6738
O2 0.7500 0.6738 0.1738
O3 0.5000 0.6412 0.9066
O4 0.2500 0.6738 0.1738
O5 0.5000 0.1412 0.5934
O6 0.0000 0.5934 0.8588
O7 0.0000 0.4066 0.1412
O8 0.7500 0.1738 0.3262
O9 0.5000 0.8588 0.4066
O10 0.0000 0.9066 0.3588
O11 0.2500 0.3262 0.8262
O12 0.7500 0.3262 0.8262
O13 0.0000 0.0934 0.6412
O14 0.2500 0.1738 0.3262
O15 0.2500 0.8262 0.6738
O16 0.5000 0.3588 0.0934
Sb1 0.5000 0.6627 0.6663
Sb2 0.5000 0.3373 0.3337
Sb3 0.0000 0.8337 0.8373
Sb4 0.5000 0.8373 0.1663
Sb5 0.5000 0.1627 0.8337
Sb6 0.0000 0.1663 0.1627
Sb7 0.0000 0.6663 0.3373
Sb8 0.0000 0.3337 0.6627
Ni1 0.7500 0.0000 0.5000
Ni2 0.2500 0.0000 0.5000
Ni3 0.2500 0.5000 0.0000
Ni4 0.7500 0.5000 0.0000
# E_tot = -17.91 eV/atom
# symmetry = P4_2/mbc, No. 135
# raw formation energy = -1.39 eV/atom
# calculated density = 6.018 g cm⁻³


No. 2
# AlZnAu2 | the Alexandria database | meta-GGA SCAN | PBEsol geometry
data_AlZnAu2
_chemical_formula_sum 'Al1 Zn1 Au2'
_space_group_name_H-M_alt 'P 1'
_space_group_IT_number 1
_space_group_name_Hall 'P 1'
_cell_length_a 3.8860
_cell_length_b 3.8860
_cell_length_c 4.9417
_cell_angle_alpha 113.15
_cell_angle_beta 113.15
_cell_angle_gamma 90.00
loop_
_atom_site_label
_atom_site_fract_x
_atom_site_fract_y
_atom_site_fract_z
Zn1 0.0000 0.0000 0.0000
Au1 0.5000 0.5000 0.0000
Au2 0.2500 0.7500 0.5000
Al1 0.7500 0.2500 0.5000
# E_tot = -40.25 eV/atom
# symmetry = I-4m2, No. 119
# calculated formation energy = -0.35 eV/atom
# calculated density = 13.020 g cm⁻³


No. 3
# SrRe3Ni | the Alexandria database | meta-GGA SCAN | PBEsol geometry
data_SrRe3Ni
_chemical_formula_sum 'Sr1 Re3 Ni1'
_space_group_name_H-M_alt 'P 1'
_space_group_IT_number 1
_space_group_name_Hall 'P 1'
_cell_length_a 4.6417
_cell_length_b 4.6417
_cell_length_c 4.6417
_cell_angle_alpha 90.00
_cell_angle_beta 90.00
_cell_angle_gamma 90.00
loop_
_atom_site_label
_atom_site_fract_x
_atom_site_fract_y
_atom_site_fract_z
Re1 0.0000 0.5000 0.0000
Re2 0.0000 0.0000 0.5000
Re3 0.5000 0.0000 0.0000
Ni1 0.5000 0.5000 0.5000
Sr1 0.0000 0.0000 0.0000
# E_tot = -45.98 eV/atom
# symmetry = Pm-3m, No. 221
# calculated formation energy = 4.36 eV/atom
# calculated density = 11.705 g cm⁻³


No. 4
# LaZn2W | the Alexandria database | meta-GGA SCAN | PBEsol geometry
data_LaZn2W
_chemical_formula_sum 'La1 Zn2 W1'
_space_group_name_H-M_alt 'P 1'
_space_group_IT_number 1
_space_group_name_Hall 'P 1'
_cell_length_a 2.8489
_cell_length_b 3.6106
_cell_length_c 7.3168
_cell_angle_alpha 90.00
_cell_angle_beta 90.00
_cell_angle_gamma 90.00
loop_
_atom_site_label
_atom_site_fract_x
_atom_site_fract_y
_atom_site_fract_z
W1 0.5000 0.5000 0.8077
Zn1 0.0000 0.0000 0.9966
Zn2 0.5000 0.5000 0.1854
La1 0.0000 0.0000 0.5102
# E_tot = -34.57 eV/atom
# symmetry = Pmm2, No. 25
# energy above the most stable polymorph in this dataset = 0.131 eV per atom
# calculated formation energy = 0.39 eV/atom
# calculated density = 10.007 g cm⁻³


No. 5
# CrMo2Os | the Alexandria database | meta-GGA SCAN | PBEsol geometry
data_CrMo2Os
_chemical_formula_sum 'Cr1 Mo2 Os1'
_space_group_name_H-M_alt 'P 1'
_space_group_IT_number 1
_space_group_name_Hall 'P 1'
_cell_length_a 3.0471
_cell_length_b 4.2975
_cell_length_c 4.3114
_cell_angle_alpha 90.00
_cell_angle_beta 90.00
_cell_angle_gamma 90.00
loop_
_atom_site_label
_atom_site_fract_x
_atom_site_fract_y
_atom_site_fract_z
Cr1 0.0000 0.5000 0.5000
Os1 0.5000 0.0000 0.5000
Mo1 0.0000 0.0000 0.0000
Mo2 0.5000 0.5000 0.0000
# E_tot = -39.94 eV/atom
# symmetry = Pmmm, No. 47
# energy above the most stable polymorph in this dataset = 0.000 eV per atom
# calculated formation energy = 0.07 eV/atom
# calculated density = 12.768 g cm⁻³


No. 6
# Cr2NiAu | the Alexandria database | meta-GGA SCAN | PBEsol geometry
data_Cr2NiAu
_chemical_formula_sum 'Cr2 Ni1 Au1'
_space_group_name_H-M_alt 'P 1'
_space_group_IT_number 1
_space_group_name_Hall 'P 1'
_cell_length_a 2.5927
_cell_length_b 3.7617
_cell_length_c 5.1577
_cell_angle_alpha 90.00
_cell_angle_beta 90.00
_cell_angle_gamma 90.00
loop_
_atom_site_label
_atom_site_fract_x
_atom_site_fract_y
_atom_site_fract_z
Cr1 0.0000 0.0000 0.8002
Cr2 0.0000 0.0000 0.1998
Ni1 0.5000 0.5000 0.0000
Au1 0.5000 0.5000 0.5000
# E_tot = -30.30 eV/atom
# symmetry = Pmmm, No. 47
# energy above the most stable polymorph in this dataset = 0.303 eV per atom
# calculated formation energy = 0.23 eV/atom
# calculated density = 11.872 g cm⁻³


No. 7
# Cd2Rh | the Alexandria database | meta-GGA SCAN | PBEsol geometry
data_Cd2Rh
_chemical_formula_sum 'Cd2 Rh1'
_space_group_name_H-M_alt 'P 1'
_space_group_IT_number 1
_space_group_name_Hall 'P 1'
_cell_length_a 3.0345
_cell_length_b 3.8480
_cell_length_c 5.0101
_cell_angle_alpha 112.58
_cell_angle_beta 107.63
_cell_angle_gamma 90.00
loop_
_atom_site_label
_atom_site_fract_x
_atom_site_fract_y
_atom_site_fract_z
Cd1 0.1601 0.1601 0.3201
Cd2 0.8399 0.8399 0.6799
Rh1 0.5000 0.5000 0.0000
# E_tot = -31.62 eV/atom
# symmetry = Immm, No. 71
# calculated formation energy = -0.09 eV/atom
# calculated density = 10.665 g cm⁻³


No. 8
# LaFeW2 | the Alexandria database | meta-GGA SCAN | PBEsol geometry
data_LaFeW2
_chemical_formula_sum 'La1 Fe1 W2'
_space_group_name_H-M_alt 'P 1'
_space_group_IT_number 1
_space_group_name_Hall 'P 1'
_cell_length_a 3.2091
_cell_length_b 4.5778
_cell_length_c 4.5778
_cell_angle_alpha 90.00
_cell_angle_beta 90.00
_cell_angle_gamma 90.00
loop_
_atom_site_label
_atom_site_fract_x
_atom_site_fract_y
_atom_site_fract_z
W1 0.0000 0.0000 0.5000
W2 0.0000 0.5000 0.0000
Fe1 0.5000 0.5000 0.5000
La1 0.5000 0.0000 0.0000
# E_tot = -48.95 eV/atom
# symmetry = P4/mmm, No. 123
# energy above the most stable polymorph in this dataset = 0.716 eV per atom
# calculated formation energy = 1.20 eV/atom
# calculated density = 13.888 g cm⁻³


No. 9
# Ti3OsAu | the Alexandria database | meta-GGA SCAN | PBEsol geometry
data_Ti3OsAu
_chemical_formula_sum 'Ti3 Os1 Au1'
_space_group_name_H-M_alt 'P 1'
_space_group_IT_number 1
_space_group_name_Hall 'P 1'
_cell_length_a 4.6741
_cell_length_b 4.6741
_cell_length_c 4.6741
_cell_angle_alpha 90.00
_cell_angle_beta 90.00
_cell_angle_gamma 90.00
loop_
_atom_site_label
_atom_site_fract_x
_atom_site_fract_y
_atom_site_fract_z
Au1 0.0000 0.0000 0.0000
Ti1 0.0000 0.5000 0.0000
Ti2 0.0000 0.0000 0.5000
Ti3 0.5000 0.0000 0.0000
Os1 0.5000 0.5000 0.5000
# E_tot = -36.68 eV/atom
# symmetry = Pm-3m, No. 221
# calculated formation energy = 1.14 eV/atom
# calculated density = 8.632 g cm⁻³


No. 10
# BaLaRh2 | the Alexandria database | meta-GGA SCAN | PBEsol geometry
data_BaLaRh2
_chemical_formula_sum 'Ba1 La1 Rh2'
_space_group_name_H-M_alt 'P 1'
_space_group_IT_number 1
_space_group_name_Hall 'P 1'
_cell_length_a 4.1841
_cell_length_b 4.1841
_cell_length_c 6.0293
_cell_angle_alpha 110.30
_cell_angle_beta 110.30
_cell_angle_gamma 90.00
loop_
_atom_site_label
_atom_site_fract_x
_atom_site_fract_y
_atom_site_fract_z
Ba1 0.5000 0.5000 0.0000
La1 0.2500 0.7500 0.5000
Rh1 0.0000 0.0000 0.0000
Rh2 0.7500 0.2500 0.5000
# E_tot = -37.60 eV/atom
# symmetry = I-4m2, No. 119
# calculated formation energy = -0.05 eV/atom
# calculated density = 8.703 g cm⁻³


No. 11
# Cs3BeS | the Alexandria database | meta-GGA SCAN | PBEsol geometry
data_Cs3BeS
_chemical_formula_sum 'Cs3 Be1 S1'
_space_group_name_H-M_alt 'P 1'
_space_group_IT_number 1
_space_group_name_Hall 'P 1'
_cell_length_a 6.6161
_cell_length_b 6.6161
_cell_length_c 6.6161
_cell_angle_alpha 90.00
_cell_angle_beta 90.00
_cell_angle_gamma 90.00
loop_
_atom_site_label
_atom_site_fract_x
_atom_site_fract_y
_atom_site_fract_z
Cs1 0.0000 0.0000 0.5000
Cs2 0.0000 0.5000 0.0000
Cs3 0.5000 0.0000 0.0000
S1 0.0000 0.0000 0.0000
Be1 0.5000 0.5000 0.5000
# E_tot = -25.55 eV/atom
# symmetry = Pm-3m, No. 221
# raw formation energy = -0.07 eV/atom
# calculated density = 2.522 g cm⁻³


No. 12
# BiTe2MoN | the Alexandria database | meta-GGA SCAN | PBEsol geometry
data_BiTe2MoN
_chemical_formula_sum 'Bi1 Te2 Mo1 N1'
_space_group_name_H-M_alt 'P 1'
_space_group_IT_number 1
_space_group_name_Hall 'P 1'
_cell_length_a 3.7848
_cell_length_b 5.4707
_cell_length_c 5.4707
_cell_angle_alpha 90.00
_cell_angle_beta 90.00
_cell_angle_gamma 90.00
loop_
_atom_site_label
_atom_site_fract_x
_atom_site_fract_y
_atom_site_fract_z
Te1 0.0000 0.5000 0.0000
Te2 0.0000 0.0000 0.5000
Mo1 0.0000 0.0000 0.0000
Bi1 0.5000 0.5000 0.5000
N1 0.5000 0.0000 0.0000
# E_tot = -39.26 eV/atom
# symmetry = P4/mmm, No. 123
# raw formation energy = 0.19 eV/atom
# calculated density = 8.416 g cm⁻³


No. 13
# KTaTc2 | the Alexandria database | meta-GGA SCAN | PBEsol geometry
data_KTaTc2
_chemical_formula_sum 'K1 Ta1 Tc2'
_space_group_name_H-M_alt 'P 1'
_space_group_IT_number 1
_space_group_name_Hall 'P 1'
_cell_length_a 2.9656
_cell_length_b 5.1770
_cell_length_c 5.5333
_cell_angle_alpha 117.89
_cell_angle_beta 105.54
_cell_angle_gamma 90.00
loop_
_atom_site_label
_atom_site_fract_x
_atom_site_fract_y
_atom_site_fract_z
Ta1 0.0000 0.5000 0.0000
K1 0.5000 0.0000 0.0000
Tc1 0.2738 0.2738 0.5477
Tc2 0.7262 0.7262 0.4523
# E_tot = -35.02 eV/atom
# symmetry = Immm, No. 71
# energy above the most stable polymorph in this dataset = 0.719 eV per atom
# calculated formation energy = 1.23 eV/atom
# calculated density = 9.656 g cm⁻³


No. 14
# BaTiN2F | the Alexandria database | meta-GGA SCAN | PBEsol geometry
data_BaTiN2F
_chemical_formula_sum 'Ba1 Ti1 N2 F1'
_space_group_name_H-M_alt 'P 1'
_space_group_IT_number 1
_space_group_name_Hall 'P 1'
_cell_length_a 4.6039
_cell_length_b 4.6039
_cell_length_c 4.6370
_cell_angle_alpha 90.00
_cell_angle_beta 90.00
_cell_angle_gamma 90.00
loop_
_atom_site_label
_atom_site_fract_x
_atom_site_fract_y
_atom_site_fract_z
N1 0.5000 0.0000 0.0000
N2 0.0000 0.5000 0.0000
Ti1 0.5000 0.5000 0.5000
F1 0.0000 0.0000 0.5000
Ba1 0.0000 0.0000 0.0000
# E_tot = -14.83 eV/atom
# symmetry = P4/mmm, No. 123
# raw formation energy = 0.71 eV/atom
# calculated density = 3.923 g cm⁻³


No. 15
# Fe2Rh3 | the Alexandria database | meta-GGA SCAN | PBEsol geometry
data_Fe2Rh3
_chemical_formula_sum 'Fe2 Rh3'
_space_group_name_H-M_alt 'P 1'
_space_group_IT_number 1
_space_group_name_Hall 'P 1'
_cell_length_a 2.6423
_cell_length_b 4.5305
_cell_length_c 5.7311
_cell_angle_alpha 75.75
_cell_angle_beta 76.67
_cell_angle_gamma 73.05
loop_
_atom_site_label
_atom_site_fract_x
_atom_site_fract_y
_atom_site_fract_z
Fe1 0.6053 0.6927 0.0966
Fe2 0.3947 0.3073 0.9034
Rh1 0.8071 0.1001 0.2858
Rh2 0.1929 0.8999 0.7142
Rh3 0.0000 0.5000 0.5000
# E_tot = -27.58 eV/atom
# symmetry = C2/m, No. 12
# energy above the most stable polymorph in this dataset = 0.018 eV per atom
# calculated formation energy = -0.06 eV/atom
# calculated density = 11.140 g cm⁻³


No. 16
# NiPtRh | the Alexandria database | meta-GGA SCAN | PBEsol geometry
data_NiPtRh
_chemical_formula_sum 'Ni1 Pt1 Rh1'
_space_group_name_H-M_alt 'P 1'
_space_group_IT_number 1
_space_group_name_Hall 'P 1'
_cell_length_a 2.6716
_cell_length_b 2.6716
_cell_length_c 6.3945
_cell_angle_alpha 90.00
_cell_angle_beta 90.00
_cell_angle_gamma 120.00
loop_
_atom_site_label
_atom_site_fract_x
_atom_site_fract_y
_atom_site_fract_z
Ni1 0.0000 0.0000 0.0056
Rh1 0.6667 0.3333 0.3180
Pt1 0.3333 0.6667 0.6764
# E_tot = -40.11 eV/atom
# symmetry = P3m1, No. 156
# energy above the most stable polymorph in this dataset = 0.000 eV per atom
# calculated formation energy = -0.07 eV/atom
# calculated density = 14.984 g cm⁻³


No. 17
# Nb3Pb2O8F4 | the Alexandria database | meta-GGA SCAN | PBEsol geometry
data_Nb3Pb2O8F4
_chemical_formula_sum 'Nb3 Pb2 O8 F4'
_space_group_name_H-M_alt 'P 1'
_space_group_IT_number 1
_space_group_name_Hall 'P 1'
_cell_length_a 3.9037
_cell_length_b 3.9037
_cell_length_c 16.4146
_cell_angle_alpha 96.83
_cell_angle_beta 96.83
_cell_angle_gamma 90.00
loop_
_atom_site_label
_atom_site_fract_x
_atom_site_fract_y
_atom_site_fract_z
O1 0.0000 0.5000 0.0000
O2 0.6307 0.1307 0.2614
O3 0.5000 0.0000 0.0000
O4 0.9374 0.9374 0.8747
O5 0.0626 0.0626 0.1253
O6 0.3693 0.8693 0.7386
O7 0.1307 0.6307 0.2614
O8 0.8693 0.3693 0.7386
Nb1 0.0000 0.0000 0.0000
Nb2 0.8804 0.8804 0.7608
Nb3 0.1196 0.1196 0.2392
F1 0.2500 0.7500 0.5000
F2 0.8122 0.8122 0.6243
F3 0.7500 0.2500 0.5000
F4 0.1878 0.1878 0.3757
Pb1 0.2972 0.2972 0.5945
Pb2 0.7028 0.7028 0.4055
# E_tot = -21.01 eV/atom
# symmetry = I4/mmm, No. 139
# raw formation energy = -2.48 eV/atom
# calculated density = 6.042 g cm⁻³


No. 18
# HfGe2P | the Alexandria database | meta-GGA SCAN | PBEsol geometry
data_HfGe2P
_chemical_formula_sum 'Hf1 Ge2 P1'
_space_group_name_H-M_alt 'P 1'
_space_group_IT_number 1
_space_group_name_Hall 'P 1'
_cell_length_a 4.6417
_cell_length_b 4.6417
_cell_length_c 4.6417
_cell_angle_alpha 60.00
_cell_angle_beta 60.00
_cell_angle_gamma 60.00
loop_
_atom_site_label
_atom_site_fract_x
_atom_site_fract_y
_atom_site_fract_z
Ge1 0.7500 0.7500 0.7500
Ge2 0.2500 0.2500 0.2500
Hf1 0.5000 0.5000 0.5000
P1 0.0000 0.0000 0.0000
# E_tot = -27.43 eV/atom
# symmetry = Fm-3m, No. 225
# calculated formation energy = 0.38 eV/atom
# calculated density = 8.330 g cm⁻³


No. 19
# CaNiMo2 | the Alexandria database | meta-GGA SCAN | PBEsol geometry
data_CaNiMo2
_chemical_formula_sum 'Ca1 Ni1 Mo2'
_space_group_name_H-M_alt 'P 1'
_space_group_IT_number 1
_space_group_name_Hall 'P 1'
_cell_length_a 3.6828
_cell_length_b 3.6828
_cell_length_c 4.8386
_cell_angle_alpha 90.00
_cell_angle_beta 90.00
_cell_angle_gamma 90.00
loop_
_atom_site_label
_atom_site_fract_x
_atom_site_fract_y
_atom_site_fract_z
Ca1 0.0000 0.0000 0.5000
Ni1 0.5000 0.5000 0.5000
Mo1 0.0000 0.5000 0.0000
Mo2 0.5000 0.0000 0.0000
# E_tot = -23.25 eV/atom
# symmetry = P4/mmm, No. 123
# energy above the most stable polymorph in this dataset = 0.178 eV per atom
# calculated formation energy = 0.66 eV/atom
# calculated density = 7.354 g cm⁻³


No. 20
# TaAsPS2 | the Alexandria database | meta-GGA SCAN | PBEsol geometry
data_TaAsPS2
_chemical_formula_sum 'Ta1 As1 P1 S2'
_space_group_name_H-M_alt 'P 1'
_space_group_IT_number 1
_space_group_name_Hall 'P 1'
_cell_length_a 4.6149
_cell_length_b 4.6149
_cell_length_c 5.0038
_cell_angle_alpha 90.00
_cell_angle_beta 90.00
_cell_angle_gamma 90.00
loop_
_atom_site_label
_atom_site_fract_x
_atom_site_fract_y
_atom_site_fract_z
S1 0.0000 0.5000 0.0000
S2 0.5000 0.0000 0.0000
As1 0.5000 0.5000 0.5000
P1 0.0000 0.0000 0.5000
Ta1 0.0000 0.0000 0.0000
# E_tot = -23.02 eV/atom
# symmetry = P4/mmm, No. 123
# raw formation energy = 0.26 eV/atom
# calculated density = 5.469 g cm⁻³